[1]
Computed, not measured: a geometry-optimized NdThTe2 structure at the PBE level of DFT.

a b c (Å): 4.481 4.481 6.340
angles (deg): 90.00 90.00 90.00
Atoms (fractional coordinates):
Nd1 0.000 0.000 0.000
Th1 0.500 0.500 0.500
Te1 0.000 0.000 0.500
Te2 0.500 0.500 0.000

Output
- relative energy among the computed polymorphs (kJ/mol of formula units) = 7
- SG = P4/mmm (123)

---

[2]
Computed, not measured: a geometry-optimized NdThTe structure at the PBE level of DFT.

a b c (Å): 3.925 3.925 14.865
angles (deg): 90.00 90.00 120.00
Atoms (fractional coordinates):
Nd1 0.000 0.000 0.195
Nd2 0.000 0.000 0.805
Th1 0.000 0.000 0.500
Th2 0.667 0.333 0.000
Te1 0.667 0.333 0.348
Te2 0.667 0.333 0.652

Output
- relative energy among the computed polymorphs (kJ/mol of formula units) = 0
- SG = P-6m2 (187)

---

[3]
Computed, not measured: a geometry-optimized NdTh3Te4 structure at the PBE level of DFT.

a b c (Å): 7.694 7.694 4.564
angles (deg): 90.00 90.00 110.50
Atoms (fractional coordinates):
Nd1 0.000 0.000 0.000
Th1 0.000 0.500 0.500
Th2 0.500 0.000 0.500
Th3 0.500 0.500 0.000
Te1 0.249 0.249 0.500
Te2 0.249 0.751 0.000
Te3 0.751 0.249 0.000
Te4 0.751 0.751 0.500

Output
- relative energy among the computed polymorphs (kJ/mol of formula units) = 6
- SG = Cmmm (65)

---

[4]
Computed, not measured: a geometry-optimized NdThTe3 structure at the PBE level of DFT.

a b c (Å): 7.750 7.750 7.662
angles (deg): 90.00 90.00 120.00
Atoms (fractional coordinates):
Nd1 0.000 0.000 0.000
Nd2 0.000 0.000 0.500
Th1 0.667 0.333 0.000
Th2 0.667 0.333 0.500
Te1 0.336 0.013 0.250
Te2 0.336 0.323 0.750
Te3 0.677 0.013 0.750
Te4 0.677 0.664 0.250
Te5 0.987 0.323 0.250
Te6 0.987 0.664 0.750

Output
- relative energy among the computed polymorphs (kJ/mol of formula units) = 23
- SG = P-6c2 (188)

---

[5]
Computed, not measured: a geometry-optimized NdTh2Tl3Te6 structure at the PBE level of DFT.

a b c (Å): 7.672 7.672 8.871
angles (deg): 98.29 98.29 120.01
Atoms (fractional coordinates):
Nd1 0.000 0.000 0.000
Th1 0.333 0.667 0.000
Th2 0.667 0.333 0.000
Tl1 0.165 0.835 0.500
Tl2 0.500 0.500 0.500
Tl3 0.835 0.165 0.500
Te1 0.075 0.414 0.225
Te2 0.264 0.264 0.776
Te3 0.414 0.075 0.225
Te4 0.586 0.925 0.775
Te5 0.736 0.736 0.224
Te6 0.925 0.586 0.775

Output
- SG = C2/m (12)
- E_tot (eV per atom) = -4.704

---

[6]
Computed, not measured: a geometry-optimized Nd2ThTl3Te6 structure at the PBE level of DFT.

a b c (Å): 7.795 7.795 8.719
angles (deg): 98.57 98.57 120.00
Atoms (fractional coordinates):
Nd1 0.166 0.834 0.000
Nd2 0.834 0.166 0.000
Th1 0.500 0.500 0.000
Tl1 0.000 0.000 0.500
Tl2 0.332 0.668 0.500
Tl3 0.668 0.332 0.500
Te1 0.097 0.426 0.777
Te2 0.247 0.247 0.224
Te3 0.426 0.097 0.777
Te4 0.574 0.903 0.223
Te5 0.753 0.753 0.776
Te6 0.903 0.574 0.223

Output
- SG = C2/m (12)
- E_tot (eV per atom) = -4.569

---

[7]
Computed, not measured: a geometry-optimized Nd2TmThTe5 structure at the PBE level of DFT.

a b c (Å): 5.450 5.450 11.785
angles (deg): 90.00 90.00 90.00
Atoms (fractional coordinates):
Nd1 0.000 0.000 0.158
Nd2 0.000 0.000 0.842
Tm1 0.500 0.500 0.000
Th1 0.500 0.500 0.500
Te1 0.000 0.000 0.500
Te2 0.000 0.500 0.000
Te3 0.500 0.000 0.000
Te4 0.500 0.500 0.251
Te5 0.500 0.500 0.749

Output
- SG = P4/mmm (123)
- E_tot (eV per atom) = -4.830

---

[8]
Computed, not measured: a geometry-optimized Nd2Y3ThTe6 structure at the PBE level of DFT.

a b c (Å): 9.974 9.974 8.970
angles (deg): 104.83 104.83 25.32
Atoms (fractional coordinates):
Nd1 0.162 0.162 0.324
Nd2 0.838 0.838 0.676
Y1 0.167 0.167 0.833
Y2 0.500 0.500 0.500
Y3 0.833 0.833 0.167
Th1 0.500 0.500 0.000
Te1 0.005 0.005 0.743
Te2 0.331 0.331 0.926
Te3 0.334 0.334 0.413
Te4 0.666 0.666 0.587
Te5 0.669 0.669 0.074
Te6 0.995 0.995 0.257

Output
- SG = C2/m (12)
- E_tot (eV per atom) = -5.892

---

[9]
Computed, not measured: a geometry-optimized Nd2YTh3Te6 structure at the PBE level of DFT.

a b c (Å): 10.194 10.194 9.127
angles (deg): 108.15 108.15 24.72
Atoms (fractional coordinates):
Nd1 0.167 0.167 0.335
Nd2 0.833 0.833 0.665
Y1 0.500 0.500 0.000
Th1 0.170 0.170 0.837
Th2 0.500 0.500 0.500
Th3 0.830 0.830 0.163
Te1 0.001 0.001 0.759
Te2 0.333 0.333 0.417
Te3 0.338 0.338 0.917
Te4 0.662 0.662 0.083
Te5 0.667 0.667 0.583
Te6 0.999 0.999 0.241

Output
- SG = C2/m (12)
- E_tot (eV per atom) = -5.942

---

[10]
Computed, not measured: a geometry-optimized Nd3Y2ThTe6 structure at the PBE level of DFT.

a b c (Å): 9.905 9.905 8.964
angles (deg): 101.68 101.68 25.78
Atoms (fractional coordinates):
Nd1 0.000 0.000 0.000
Nd2 0.340 0.340 0.664
Nd3 0.660 0.660 0.336
Y1 0.335 0.335 0.168
Y2 0.665 0.665 0.832
Th1 0.000 0.000 0.500
Te1 0.170 0.170 0.079
Te2 0.170 0.170 0.594
Te3 0.495 0.495 0.246
Te4 0.505 0.505 0.754
Te5 0.830 0.830 0.406
Te6 0.830 0.830 0.921

Output
- SG = C2/m (12)
- E_tot (eV per atom) = -5.772

---

[11]
Computed, not measured: a geometry-optimized Nd5Ti3Te12 structure at the PBE level of DFT.

a b c (Å): 15.534 15.534 15.534
angles (deg): 109.47 109.47 109.47
Atoms (fractional coordinates):
Nd1 0.000 0.000 0.000
Nd2 0.000 0.000 0.500
Nd3 0.000 0.500 0.000
Nd4 0.000 0.500 0.500
Nd5 0.125 0.750 0.875
Nd6 0.125 0.875 0.250
Nd7 0.250 0.125 0.875
Nd8 0.250 0.625 0.375
Nd9 0.375 0.250 0.625
Nd10 0.375 0.625 0.750
Nd11 0.500 0.000 0.000
Nd12 0.500 0.000 0.500
Nd13 0.500 0.500 0.000
Nd14 0.500 0.500 0.500
Nd15 0.625 0.375 0.250
Nd16 0.625 0.750 0.375
Nd17 0.750 0.375 0.625
Nd18 0.750 0.875 0.125
Nd19 0.875 0.125 0.750
Nd20 0.875 0.250 0.125
Ti1 0.125 0.250 0.375
Ti2 0.125 0.375 0.750
Ti3 0.250 0.375 0.125
Ti4 0.250 0.875 0.625
Ti5 0.375 0.125 0.250
Ti6 0.375 0.750 0.125
Ti7 0.625 0.250 0.875
Ti8 0.625 0.875 0.750
Ti9 0.750 0.125 0.375
Ti10 0.750 0.625 0.875
Ti11 0.875 0.625 0.250
Ti12 0.875 0.750 0.625
Te1 0.063 0.627 0.388
Te2 0.063 0.936 0.675
Te3 0.064 0.239 0.127
Te4 0.064 0.325 0.937
Te5 0.112 0.739 0.675
Te6 0.112 0.873 0.437
Te7 0.127 0.064 0.239
Te8 0.127 0.563 0.888
Te9 0.175 0.239 0.612
Te10 0.175 0.436 0.563
Te11 0.239 0.127 0.064
Te12 0.239 0.612 0.175
Te13 0.261 0.325 0.888
Te14 0.261 0.436 0.373
Te15 0.325 0.888 0.261
Te16 0.325 0.937 0.064
Te17 0.373 0.261 0.436
Te18 0.373 0.612 0.937
Te19 0.388 0.063 0.627
Te20 0.388 0.825 0.761
Te21 0.436 0.373 0.261
Te22 0.436 0.563 0.175
Te23 0.437 0.112 0.873
Te24 0.437 0.825 0.564
Te25 0.563 0.175 0.436
Te26 0.563 0.888 0.127
Te27 0.564 0.437 0.825
Te28 0.564 0.627 0.739
Te29 0.612 0.175 0.239
Te30 0.612 0.937 0.373
Te31 0.627 0.388 0.063
Te32 0.627 0.739 0.564
Te33 0.675 0.063 0.936
Te34 0.675 0.112 0.739
Te35 0.739 0.564 0.627
Te36 0.739 0.675 0.112
Te37 0.761 0.388 0.825
Te38 0.761 0.873 0.936
Te39 0.825 0.564 0.437
Te40 0.825 0.761 0.388
Te41 0.873 0.437 0.112
Te42 0.873 0.936 0.761
Te43 0.888 0.127 0.563
Te44 0.888 0.261 0.325
Te45 0.936 0.675 0.063
Te46 0.936 0.761 0.873
Te47 0.937 0.064 0.325
Te48 0.937 0.373 0.612

Output
- SG = Ia-3d (230)
- E_tot (eV per atom) = -4.906

---

[12]
Computed, not measured: a geometry-optimized Nd2TiTe5 structure at the PBE level of DFT.

a b c (Å): 8.075 8.075 14.169
angles (deg): 90.00 90.00 136.26
Atoms (fractional coordinates):
Nd1 0.159 0.841 0.564
Nd2 0.159 0.841 0.936
Nd3 0.841 0.159 0.064
Nd4 0.841 0.159 0.436
Ti1 0.174 0.826 0.250
Ti2 0.826 0.174 0.750
Te1 0.045 0.955 0.122
Te2 0.045 0.955 0.378
Te3 0.284 0.716 0.750
Te4 0.307 0.693 0.100
Te5 0.307 0.693 0.400
Te6 0.693 0.307 0.600
Te7 0.693 0.307 0.900
Te8 0.716 0.284 0.250
Te9 0.955 0.045 0.622
Te10 0.955 0.045 0.878

Output
- SG = Cmcm (63)
- E_tot (eV per atom) = -5.113

---

[13]
Computed, not measured: a geometry-optimized NdTiTe structure at the PBE level of DFT.

a b c (Å): 6.025 6.025 7.649
angles (deg): 108.47 108.47 34.89
Atoms (fractional coordinates):
Nd1 0.168 0.168 0.131
Nd2 0.832 0.832 0.869
Ti1 0.144 0.144 0.535
Ti2 0.856 0.856 0.465
Te1 0.465 0.465 0.258
Te2 0.535 0.535 0.742

Output
- SG = C2/m (12)
- E_tot (eV per atom) = -5.724

---

[14]
Computed, not measured: a geometry-optimized Nd3TiTl3Te8 structure at the PBE level of DFT.

a b c (Å): 9.711 9.711 9.711
angles (deg): 54.36 54.36 54.36
Atoms (fractional coordinates):
Nd1 0.000 0.500 0.500
Nd2 0.500 0.000 0.500
Nd3 0.500 0.500 0.000
Ti1 0.000 0.000 0.000
Tl1 0.000 0.000 0.500
Tl2 0.000 0.500 0.000
Tl3 0.500 0.000 0.000
Te1 0.219 0.219 0.767
Te2 0.219 0.767 0.219
Te3 0.233 0.781 0.781
Te4 0.259 0.259 0.259
Te5 0.741 0.741 0.741
Te6 0.767 0.219 0.219
Te7 0.781 0.233 0.781
Te8 0.781 0.781 0.233

Output
- SG = R-3m (166)
- E_tot (eV per atom) = -4.575

---

[15]
Computed, not measured: a geometry-optimized Nd3TiTl4Te8 structure at the PBE level of DFT.

a b c (Å): 9.655 9.655 9.655
angles (deg): 55.00 55.00 55.00
Atoms (fractional coordinates):
Nd1 0.000 0.500 0.500
Nd2 0.500 0.000 0.500
Nd3 0.500 0.500 0.000
Ti1 0.000 0.000 0.000
Tl1 0.000 0.000 0.500
Tl2 0.000 0.500 0.000
Tl3 0.500 0.000 0.000
Tl4 0.500 0.500 0.500
Te1 0.224 0.224 0.762
Te2 0.224 0.762 0.224
Te3 0.238 0.776 0.776
Te4 0.258 0.258 0.258
Te5 0.742 0.742 0.742
Te6 0.762 0.224 0.224
Te7 0.776 0.238 0.776
Te8 0.776 0.776 0.238

Output
- SG = R-3m (166)
- E_tot (eV per atom) = -4.451

---

[16]
Computed, not measured: a geometry-optimized Nd2TlTe structure at the PBE level of DFT.

a b c (Å): 8.392 8.392 8.392
angles (deg): 29.98 29.98 29.98
Atoms (fractional coordinates):
Nd1 0.248 0.248 0.248
Nd2 0.752 0.752 0.752
Tl1 0.000 0.000 0.000
Te1 0.500 0.500 0.500

Output
- relative energy among the computed polymorphs (kJ/mol of formula units) = 16
- SG = R-3m (166)

---

[17]
Computed, not measured: a geometry-optimized Nd5TlTe4 structure at the PBE level of DFT.

a b c (Å): 16.273 16.273 16.273
angles (deg): 164.08 164.08 22.59
Atoms (fractional coordinates):
Nd1 0.000 0.000 0.000
Nd2 0.200 0.200 0.000
Nd3 0.401 0.401 0.000
Nd4 0.599 0.599 0.000
Nd5 0.800 0.800 0.000
Tl1 0.500 0.500 0.000
Te1 0.101 0.101 0.000
Te2 0.301 0.301 0.000
Te3 0.699 0.699 0.000
Te4 0.899 0.899 0.000

Output
- relative energy among the computed polymorphs (kJ/mol of formula units) = 32
- SG = I4/mmm (139)

---

[18]
Computed, not measured: a geometry-optimized Nd2TlTe structure at the PBE level of DFT.

a b c (Å): 12.547 12.547 4.480
angles (deg): 90.00 90.00 158.84
Atoms (fractional coordinates):
Nd1 0.065 0.935 0.750
Nd2 0.321 0.679 0.750
Nd3 0.679 0.321 0.250
Nd4 0.935 0.065 0.250
Tl1 0.454 0.546 0.750
Tl2 0.546 0.454 0.250
Te1 0.192 0.808 0.750
Te2 0.808 0.192 0.250

Output
- relative energy among the computed polymorphs (kJ/mol of formula units) = 0
- SG = Cmcm (63)

---

[19]
Computed, not measured: a geometry-optimized Nd2TlTe structure at the PBE level of DFT.

a b c (Å): 8.927 8.927 8.927
angles (deg): 27.30 27.30 27.30
Atoms (fractional coordinates):
Nd1 0.000 0.000 0.000
Nd2 0.178 0.178 0.178
Tl1 0.756 0.756 0.756
Te1 0.588 0.588 0.588

Output
- relative energy among the computed polymorphs (kJ/mol of formula units) = 53
- SG = R3m (160)

---

These records have DOS(E_F) values of 4.33 3.80 6.22 1.83 7.43 5.01 9.13 7.95 10.23 7.76 14.00 0.58 2.93 0.70 6.36 2.27 6.36 1.96 3.98 states/eV/f.u., in the order they appear.
These records have spin magnetization values of 0.00 0.00 0.00 0.00 0.00 0.00 0.00 0.00 0.00 0.00 12.23 0.18 0.00 0.05 1.03 0.00 0.00 0.00 0.00 μB/cell, in the order they appear.